1.
Computed, not measured: a relaxed Os4Pt3 crystal at the PBE level of DFT.

```
Os4Pt3
1.0
-1.667 1.667 9.641
1.667 -1.667 9.641
1.667 1.667 -9.641
Os Pt
4 3
Direct
0.426 0.426 0.000
0.138 0.138 0.000
0.574 0.574 0.000
0.862 0.862 0.000
0.713 0.713 0.000
0.000 0.000 0.000
0.287 0.287 0.000
```

Values from the calculation:
Electronic total energy in eV per atom: -8.583
Total magnetic moment in μB/atom: 0.33
DOS(E_F) in states/eV per atom: 1.240
Energy relative to the elements in eV/atom: 0.423



2.
Computed, not measured: a relaxed Na10B17C3 crystal at the PBE level of DFT.

```
Na10B17C3
1.0
13.445 -0.134 0.000
-13.122 2.934 0.000
0.000 0.000 8.693
Na B C
10 17 3
Direct
0.399 0.601 0.002
0.201 0.799 0.001
0.601 0.399 0.502
0.399 0.601 0.498
0.601 0.399 0.998
0.201 0.799 0.499
0.999 0.001 0.501
0.800 0.200 0.000
0.800 0.200 0.500
0.999 0.001 0.999
0.665 0.335 0.250
0.069 0.931 0.750
0.273 0.727 0.750
0.465 0.535 0.750
0.862 0.138 0.250
0.735 0.265 0.750
0.528 0.472 0.750
0.926 0.074 0.750
0.271 0.729 0.250
0.927 0.073 0.250
0.533 0.467 0.250
0.075 0.925 0.250
0.470 0.530 0.250
0.131 0.869 0.750
0.731 0.269 0.250
0.338 0.662 0.750
0.671 0.329 0.750
0.134 0.866 0.250
0.867 0.133 0.750
0.331 0.669 0.250
```

Values from the calculation:
Electronic total energy in eV per atom: -4.931
Total magnetic moment in μB/atom: 0.00
DOS(E_F) in states/eV per atom: 0.295
Energy relative to the elements in eV/atom: 0.215



3.
Computed, not measured: a relaxed CeAu6 crystal at the PBE level of DFT.

```
CeAu6
1.0
-0.109 5.888 -2.610
-0.931 -4.407 -4.605
-4.672 -0.481 4.409
Au Ce
6 1
Direct
0.500 0.750 0.250
0.250 0.500 0.750
0.250 0.750 0.500
0.750 0.250 0.500
0.500 0.250 0.750
0.750 0.500 0.250
0.000 0.000 0.000
```

Values from the calculation:
Electronic total energy in eV per atom: -3.311
Total magnetic moment in μB/atom: 0.22
DOS(E_F) in states/eV per atom: 1.966
Energy relative to the elements in eV/atom: 0.346



4.
Computed, not measured: a relaxed BeCd2 crystal at the PBE level of DFT.

```
BeCd2
1.0
5.076 -2.299 0.227
3.195 0.734 4.512
0.975 -4.271 3.451
Cd Be
4 2
Direct
0.625 0.125 0.125
0.125 0.125 0.125
0.125 0.625 0.125
0.125 0.125 0.625
0.500 0.500 0.500
0.750 0.750 0.750
```

Values from the calculation:
Electronic total energy in eV per atom: -1.075
Total magnetic moment in μB/atom: 0.00
DOS(E_F) in states/eV per atom: 0.381
Energy relative to the elements in eV/atom: 0.777



5.
Computed, not measured: a relaxed Sm2NpH crystal at the PBE level of DFT.

```
Sm2NpH
1.0
-3.314 -0.267 0.762
-1.130 -2.682 1.779
-0.014 3.725 8.877
Sm Np H
2 1 1
Direct
0.884 0.884 0.347
0.116 0.116 0.653
0.000 0.000 0.000
0.500 0.500 0.500
```

Values from the calculation:
Electronic total energy in eV per atom: -6.132
Total magnetic moment in μB/atom: 1.19
DOS(E_F) in states/eV per atom: 2.223



6.
Computed, not measured: a relaxed La2CeZn2In2 crystal at the PBE level of DFT.

```
La2CeZn2In2
1.0
4.825 0.000 0.000
2.413 4.179 0.000
2.413 1.393 9.307
La Ce In Zn
2 1 2 2
Direct
0.872 0.872 0.384
0.128 0.128 0.616
0.000 0.000 0.000
0.732 0.732 0.804
0.268 0.268 0.196
0.392 0.392 0.825
0.608 0.608 0.175
```

Values from the calculation:
Electronic total energy in eV per atom: -3.690
Total magnetic moment in μB/atom: 0.15
DOS(E_F) in states/eV per atom: 1.377
Energy relative to the elements in eV/atom: -0.288



7.
Computed, not measured: a relaxed MgZr2NbN crystal at the PBE level of DFT.

```
MgZr2NbN
1.0
-1.582 3.681 2.287
-4.285 -0.965 -1.411
-0.589 -2.373 3.411
Zr Nb Mg N
2 1 1 1
Direct
0.000 0.500 0.000
0.500 0.000 0.000
0.000 0.000 0.500
0.500 0.500 0.500
0.000 0.000 0.000
```

Values from the calculation:
Electronic total energy in eV per atom: -8.024
Total magnetic moment in μB/atom: 0.00
DOS(E_F) in states/eV per atom: 0.444
Energy relative to the elements, uncorrected in eV per formula unit: -3.03



8.
Computed, not measured: a relaxed GeTe3Pd12 crystal at the PBE level of DFT.

```
GeTe3Pd12
1.0
4.044 0.000 0.000
0.000 4.044 0.000
0.000 0.000 16.363
Pd Ge Te
12 1 3
Direct
0.000 0.500 0.369
0.500 0.500 0.000
0.000 0.500 0.887
0.500 0.000 0.631
0.500 0.500 0.236
0.500 0.500 0.764
0.500 0.000 0.369
0.500 0.000 0.113
0.000 0.500 0.113
0.500 0.000 0.887
0.500 0.500 0.500
0.000 0.500 0.631
0.000 0.000 0.000
0.000 0.000 0.500
0.000 0.000 0.250
0.000 0.000 0.750
```

Values from the calculation:
Electronic total energy in eV per atom: -4.983
Total magnetic moment in μB/atom: 0.00
DOS(E_F) in states/eV per atom: 1.013
Energy relative to the elements, uncorrected in eV per formula unit: -3.37



9.
Computed, not measured: a relaxed Pm2Ga3Cu6 crystal at the PBE level of DFT.

```
Pm2Ga3Cu6
1.0
-4.150 -0.264 0.276
0.631 -6.405 3.353
-0.132 6.130 3.882
Ga Cu Pm
3 6 2
Direct
0.500 0.387 0.387
0.500 0.000 0.613
0.500 0.613 0.000
0.000 0.195 0.195
0.500 0.000 0.269
0.000 0.000 0.805
0.500 0.731 0.731
0.000 0.805 0.000
0.500 0.269 0.000
0.000 0.667 0.333
0.000 0.333 0.667
```

Values from the calculation:
Electronic total energy in eV per atom: -4.197
Total magnetic moment in μB/atom: 0.00
DOS(E_F) in states/eV per atom: 0.513
Energy relative to the elements in eV/atom: -0.273



10.
Computed, not measured: a relaxed CaMgCd3 crystal at the PBE level of DFT.

```
CaMgCd3
1.0
4.467 0.000 0.000
0.000 4.467 0.000
-2.234 -2.234 6.553
Cd Ca Mg
3 1 1
Direct
0.269 0.769 0.538
0.769 0.269 0.538
0.417 0.417 0.834
0.008 0.008 0.017
0.627 0.627 0.254
```

Values from the calculation:
Electronic total energy in eV per atom: -1.421
Total magnetic moment in μB/atom: 0.00
DOS(E_F) in states/eV per atom: 0.563
Energy relative to the elements in eV/atom: -0.153



11.
Computed, not measured: a relaxed NaMnCr crystal at the PBE level of DFT.

```
NaMnCr
1.0
-1.078 -2.746 -0.016
2.701 -1.063 0.526
-2.048 0.733 12.005
Mn Na Cr
2 2 2
Direct
0.000 0.500 0.849
0.500 0.000 0.946
0.000 0.500 0.149
0.500 0.000 0.415
0.000 0.500 0.620
0.500 0.000 0.714
```

Values from the calculation:
Electronic total energy in eV per atom: -6.257
Total magnetic moment in μB/atom: 0.29
DOS(E_F) in states/eV per atom: 0.970
Energy relative to the elements in eV/atom: 0.447



12.
Computed, not measured: a relaxed BaLaCr3 crystal at the PBE level of DFT.

```
BaLaCr3
1.0
-1.822 -3.747 3.291
-2.488 -2.354 -4.058
4.323 -2.934 -0.948
Cr La Ba
3 1 1
Direct
0.500 0.000 0.000
0.000 0.500 0.000
0.000 0.000 0.500
0.500 0.500 0.500
0.000 0.000 0.000
```

Values from the calculation:
Electronic total energy in eV per atom: -5.366
Total magnetic moment in μB/atom: 2.19
DOS(E_F) in states/eV per atom: 0.627
Energy relative to the elements in eV/atom: 1.778



13.
Computed, not measured: a relaxed Pr7Nd12In crystal at the PBE level of DFT.

```
Pr7Nd12In
1.0
-0.999 -5.475 -7.041
-0.615 -7.107 5.447
-8.921 0.907 0.393
Nd Pr In
12 7 1
Direct
0.887 0.003 0.335
0.540 0.878 0.657
0.460 0.122 0.343
0.657 0.540 0.878
0.003 0.335 0.887
0.997 0.665 0.113
0.122 0.343 0.460
0.343 0.460 0.122
0.335 0.887 0.003
0.878 0.657 0.540
0.113 0.997 0.665
0.665 0.113 0.997
0.765 0.212 0.619
0.235 0.788 0.381
0.788 0.381 0.235
0.619 0.765 0.212
0.500 0.500 0.500
0.212 0.619 0.765
0.381 0.235 0.788
0.000 0.000 0.000
```

Values from the calculation:
Electronic total energy in eV per atom: -4.524
Total magnetic moment in μB/atom: 0.00
DOS(E_F) in states/eV per atom: 1.875
Energy relative to the elements in eV/atom: 0.147



14.
Computed, not measured: a relaxed AlGe3Pb crystal at the PBE level of DFT.

```
AlGe3Pb
1.0
4.965 0.000 0.000
0.000 4.965 0.000
0.000 0.000 4.965
Ge Al Pb
3 1 1
Direct
0.000 0.500 0.000
0.500 0.000 0.000
0.000 0.000 0.500
0.000 0.000 0.000
0.500 0.500 0.500
```

Values from the calculation:
Electronic total energy in eV per atom: -3.810
Total magnetic moment in μB/atom: 0.00
DOS(E_F) in states/eV per atom: 0.602
Energy relative to the elements in eV/atom: 0.451



15.
Computed, not measured: a relaxed InSi3Ge crystal at the PBE level of DFT.

```
InSi3Ge
1.0
-0.461 -3.880 -2.834
-1.288 -2.643 3.828
-4.629 1.121 -0.783
In Si Ge
1 3 1
Direct
0.500 0.500 0.500
0.000 0.500 0.000
0.000 0.000 0.500
0.500 0.000 0.000
0.000 0.000 0.000
```

Values from the calculation:
Electronic total energy in eV per atom: -3.821
Total magnetic moment in μB/atom: 0.00
DOS(E_F) in states/eV per atom: 0.595
Energy relative to the elements, uncorrected in eV per formula unit: 4.52



16.
Computed, not measured: a relaxed MgVBr2 crystal at the PBE level of DFT.

```
MgVBr2
1.0
-1.183 3.543 5.111
-6.142 -1.483 -0.393
-2.728 -3.780 5.909
Mg Br V
2 4 2
Direct
0.250 0.750 0.500
0.500 0.500 0.000
0.375 0.365 0.750
0.635 0.125 0.250
0.875 0.885 0.750
0.115 0.625 0.250
0.000 0.000 0.000
0.750 0.250 0.500
```

Values from the calculation:
Electronic total energy in eV per atom: -3.535
Total magnetic moment in μB/atom: 1.10
DOS(E_F) in states/eV per atom: 1.063
Energy relative to the elements, uncorrected in eV per formula unit: -0.08



17.
Computed, not measured: a relaxed ZnPdPt2 crystal at the PBE level of DFT.

```
ZnPdPt2
1.0
-3.691 0.338 -0.675
0.242 -2.660 -2.658
-3.498 -7.728 4.744
Pt Pd Zn
4 2 2
Direct
0.127 0.625 0.250
0.375 0.377 0.750
0.875 0.873 0.750
0.623 0.125 0.250
0.000 0.000 0.000
0.750 0.250 0.500
0.250 0.750 0.500
0.500 0.500 0.000
```

Values from the calculation:
Electronic total energy in eV per atom: -4.667
Total magnetic moment in μB/atom: 0.00
DOS(E_F) in states/eV per atom: 0.883
Energy relative to the elements in eV/atom: -0.030



18.
Computed, not measured: a relaxed LaIn3Cu crystal at the PBE level of DFT.

```
LaIn3Cu
1.0
-2.805 1.157 -3.458
-3.179 -2.918 1.600
-5.254 3.354 2.315
In La Cu
3 1 1
Direct
0.138 0.442 0.428
0.639 0.942 0.428
0.808 0.611 0.091
0.398 0.202 0.909
0.025 0.828 0.655
```

Values from the calculation:
Electronic total energy in eV per atom: -3.817
Total magnetic moment in μB/atom: 0.00
DOS(E_F) in states/eV per atom: 0.284
Energy relative to the elements in eV/atom: -0.369



19.
Computed, not measured: a relaxed Li2InW crystal at the PBE level of DFT.

```
Li2InW
1.0
10.013 -0.010 -0.006
9.603 2.834 -0.006
9.603 1.383 2.474
W Li In
1 2 1
Direct
0.250 0.250 0.250
0.998 0.998 0.998
0.502 0.502 0.502
0.750 0.750 0.750
```

Values from the calculation:
Electronic total energy in eV per atom: -4.499
Total magnetic moment in μB/atom: 0.00
DOS(E_F) in states/eV per atom: 0.851
Energy relative to the elements in eV/atom: 0.381



20.
Computed, not measured: a relaxed Ac12ThGe7 crystal at the PBE level of DFT.

```
Ac12ThGe7
1.0
9.929 -0.115 -0.173
-2.871 9.505 -0.173
-2.871 -3.820 8.706
Ac Ge Th
12 7 1
Direct
0.847 0.621 0.541
0.226 0.074 0.690
0.379 0.459 0.153
0.621 0.541 0.847
0.926 0.310 0.774
0.459 0.153 0.379
0.690 0.226 0.074
0.310 0.774 0.926
0.153 0.379 0.459
0.774 0.926 0.310
0.541 0.847 0.621
0.074 0.690 0.226
0.887 0.965 0.661
0.113 0.035 0.339
0.661 0.887 0.965
0.339 0.113 0.035
0.965 0.661 0.887
0.035 0.339 0.113
0.500 0.500 0.500
0.000 0.000 0.000
```

Values from the calculation:
Electronic total energy in eV per atom: -4.867
Total magnetic moment in μB/atom: 0.00
DOS(E_F) in states/eV per atom: 1.141
Energy relative to the elements in eV/atom: -0.415



21.
Computed, not measured: a relaxed La4HgPd2 crystal at the PBE level of DFT.

```
La4HgPd2
1.0
-1.267 1.496 -4.597
-4.726 -0.452 -1.562
-4.017 9.378 1.442
Hg La Pd
1 4 2
Direct
0.000 0.000 0.000
0.205 0.205 0.386
0.382 0.382 0.853
0.795 0.795 0.614
0.618 0.618 0.147
0.899 0.899 0.302
0.101 0.101 0.698
```

Values from the calculation:
Electronic total energy in eV per atom: -4.815
Total magnetic moment in μB/atom: 0.00
DOS(E_F) in states/eV per atom: 1.325
Energy relative to the elements in eV/atom: -0.473



22.
Computed, not measured: a relaxed PuCd2GaPd2 crystal at the PBE level of DFT.

```
PuCd2GaPd2
1.0
5.322 0.000 0.000
0.000 5.322 0.000
-2.661 -2.661 5.236
Pu Ga Pd Cd
1 1 2 2
Direct
0.500 0.500 0.000
0.000 0.000 0.000
0.772 0.772 0.543
0.228 0.228 0.457
0.750 0.250 0.500
0.250 0.750 0.500
```

Values from the calculation:
Electronic total energy in eV per atom: -4.998
Total magnetic moment in μB/atom: 0.99
DOS(E_F) in states/eV per atom: 3.000
Energy relative to the elements in eV/atom: -0.069



23.
Computed, not measured: a relaxed SrAc2ErSe4 crystal at the PBE level of DFT.

```
SrAc2ErSe4
1.0
4.288 0.000 0.000
0.000 7.463 0.147
0.000 -2.592 7.209
Se Ac Sr Er
4 2 1 1
Direct
0.000 0.730 0.224
0.000 0.270 0.776
0.500 0.257 0.232
0.500 0.743 0.768
0.500 0.000 0.500
0.000 0.500 0.500
0.000 0.000 0.000
0.500 0.500 0.000
```

Values from the calculation:
Electronic total energy in eV per atom: -5.380
Total magnetic moment in μB/atom: 0.00
DOS(E_F) in states/eV per atom: 0.498
Energy relative to the elements, uncorrected in eV per formula unit: -14.64